(1)
Material: CsLiFe2Cl8
Method: DFT, PBE-GGA
State: optimized geometry

Cell lengths 6.518, 6.518, 10.032 Å; angles 96.80, 96.80, 67.21 degrees
Fractional coordinates of all 12 atoms:
Cs 0.000 0.000 0.000
Li 0.000 0.000 0.500
Fe 0.388 0.388 0.702
Fe 0.612 0.612 0.298
Cl 0.240 0.240 0.529
Cl 0.243 0.741 0.306
Cl 0.259 0.757 0.694
Cl 0.319 0.319 0.900
Cl 0.681 0.681 0.100
Cl 0.741 0.243 0.306
Cl 0.757 0.259 0.694
Cl 0.760 0.760 0.471

The space-group type is C2/m. The formation energy without anion corrections is -1189 meV per atom. As for the total energy: -0.1492 hartree per atom.

(2)
Material: CsLiFe2Cl6
Method: DFT, PBE-GGA
State: optimized geometry

Cell lengths 6.346, 7.279, 7.504 Å; angles 62.18, 79.91, 81.89 degrees
Fractional coordinates of all 10 atoms:
Cs 0.000 0.000 0.000
Li 0.380 0.538 0.665
Fe 0.273 0.341 0.289
Fe 0.606 0.136 0.466
Cl 0.050 0.077 0.461
Cl 0.160 0.558 0.431
Cl 0.162 0.510 0.963
Cl 0.531 0.174 0.753
Cl 0.610 0.816 0.488
Cl 0.633 0.392 0.147

The space-group type is P1. For the density of states at the Fermi level, the calculation gives 2.0 states/eV/f.u. The formation energy without anion corrections is -1198 meV per atom. As for the total energy: -0.1571 hartree per atom.

(3)
Material: CsMg2FeCl8
Method: DFT, PBE-GGA
State: optimized geometry

Cell lengths 6.299, 6.302, 8.913 Å; angles 73.12, 73.25, 70.23 degrees
Fractional coordinates of all 12 atoms:
Cs 0.000 0.000 0.000
Mg 0.438 0.437 0.236
Mg 0.562 0.563 0.764
Fe 0.000 0.000 0.500
Cl 0.179 0.721 0.694
Cl 0.227 0.226 0.480
Cl 0.278 0.820 0.307
Cl 0.343 0.338 0.025
Cl 0.657 0.662 0.975
Cl 0.722 0.180 0.693
Cl 0.773 0.774 0.520
Cl 0.821 0.279 0.306

The space-group type is P-1. For the density of states at the Fermi level, the calculation gives 8.7 states/eV/f.u. The formation energy without anion corrections is -1343 meV per atom. As for the total energy: -0.1329 hartree per atom.

(4)
Material: CsMgFe2Cl8
Method: DFT, PBE-GGA
State: optimized geometry

Cell lengths 6.407, 6.407, 9.995 Å; angles 96.53, 96.53, 67.79 degrees
Fractional coordinates of all 12 atoms:
Cs 0.000 0.000 0.000
Mg 0.000 0.000 0.500
Fe 0.385 0.385 0.695
Fe 0.615 0.615 0.305
Cl 0.231 0.740 0.314
Cl 0.237 0.237 0.512
Cl 0.260 0.769 0.686
Cl 0.321 0.321 0.897
Cl 0.679 0.679 0.103
Cl 0.740 0.231 0.314
Cl 0.763 0.763 0.488
Cl 0.769 0.260 0.686

The space-group type is C2/m. For the density of states at the Fermi level, the calculation gives 9.0 states/eV/f.u. The formation energy without anion corrections is -1252 meV per atom. As for the total energy: -0.1506 hartree per atom.

(5)
Material: Cs2MnFeCl6
Method: DFT, PBE-GGA
State: optimized geometry

Cell lengths 7.193, 7.193, 7.193 Å; angles 119.71, 119.71, 90.51 degrees
Fractional coordinates of all 10 atoms:
Cs 0.250 0.750 0.500
Cs 0.750 0.250 0.500
Mn 0.000 0.000 0.000
Fe 0.500 0.500 0.000
Cl 0.247 0.247 0.494
Cl 0.247 0.753 0.000
Cl 0.261 0.261 0.000
Cl 0.739 0.739 0.000
Cl 0.753 0.247 0.000
Cl 0.753 0.753 0.506

The space-group type is I4/mmm. For the density of states at the Fermi level, the calculation gives 0.0 states/eV/f.u. The formation energy without anion corrections is -1343 meV per atom. As for the total energy: -0.1611 hartree per atom.

(6)
Material: CsNaFe2Cl6
Method: DFT, PBE-GGA
State: optimized geometry

Cell lengths 9.271, 9.271, 7.341 Å; angles 100.97, 100.97, 86.70 degrees
Fractional coordinates of all 20 atoms:
Cs 0.193 0.807 0.750
Cs 0.807 0.193 0.250
Na 0.403 0.597 0.250
Na 0.597 0.403 0.750
Fe 0.128 0.303 0.787
Fe 0.303 0.128 0.287
Fe 0.697 0.872 0.713
Fe 0.872 0.697 0.213
Cl 0.099 0.599 0.293
Cl 0.125 0.167 0.025
Cl 0.167 0.125 0.525
Cl 0.316 0.462 0.867
Cl 0.401 0.901 0.207
Cl 0.462 0.316 0.367
Cl 0.538 0.684 0.633
Cl 0.599 0.099 0.793
Cl 0.684 0.538 0.133
Cl 0.833 0.875 0.475
Cl 0.875 0.833 0.975
Cl 0.901 0.401 0.707

The space-group type is C2/c. For the density of states at the Fermi level, the calculation gives 9.7 states/eV/f.u. The formation energy without anion corrections is -1191 meV per atom. As for the total energy: -0.1547 hartree per atom.

(7)
Material: Cs3NaFe2Cl9
Method: DFT, PBE-GGA
State: optimized geometry

Cell lengths 7.323, 7.323, 9.031 Å; angles 90.00, 90.00, 120.00 degrees
Fractional coordinates of all 15 atoms:
Cs 0.000 0.000 0.000
Cs 0.333 0.667 0.668
Cs 0.667 0.333 0.332
Na 0.000 0.000 0.500
Fe 0.333 0.667 0.168
Fe 0.667 0.333 0.832
Cl 0.000 0.500 0.000
Cl 0.177 0.354 0.313
Cl 0.177 0.823 0.313
Cl 0.354 0.177 0.687
Cl 0.500 0.000 0.000
Cl 0.500 0.500 0.000
Cl 0.646 0.823 0.313
Cl 0.823 0.177 0.687
Cl 0.823 0.646 0.687

The space-group type is P-3m1. For the density of states at the Fermi level, the calculation gives 8.6 states/eV/f.u. The formation energy without anion corrections is -1403 meV per atom. As for the total energy: -0.1433 hartree per atom.

(8)
Material: CsNaFe2Cl8
Method: DFT, PBE-GGA
State: optimized geometry

Cell lengths 6.665, 6.665, 10.326 Å; angles 96.64, 96.64, 67.53 degrees
Fractional coordinates of all 12 atoms:
Cs 0.000 0.000 0.000
Na 0.000 0.000 0.500
Fe 0.394 0.394 0.713
Fe 0.606 0.606 0.287
Cl 0.246 0.731 0.289
Cl 0.258 0.258 0.537
Cl 0.269 0.754 0.711
Cl 0.315 0.315 0.899
Cl 0.685 0.685 0.101
Cl 0.731 0.246 0.289
Cl 0.742 0.742 0.463
Cl 0.754 0.269 0.711

The space-group type is C2/m. The formation energy without anion corrections is -1202 meV per atom. As for the total energy: -0.1479 hartree per atom.